VASP calculation (PBE) on a relaxed structure of DyAgGe2S6.

```
DyAgGe2S6
1.0
6.406 -5.863 0.000
6.406 5.863 0.000
-2.157 0.000 6.327
Dy Ag Ge S
2 2 4 12
direct
0.127 0.873 0.750
0.873 0.127 0.250
0.251 0.749 0.250
0.749 0.251 0.750
0.227 0.376 0.752
0.376 0.227 0.252
0.624 0.773 0.748
0.773 0.624 0.248
0.052 0.181 0.651
0.115 0.605 0.888
0.181 0.052 0.151
0.305 0.441 0.483
0.395 0.885 0.612
0.441 0.305 0.983
0.559 0.695 0.017
0.605 0.115 0.388
0.695 0.559 0.517
0.819 0.948 0.849
0.885 0.395 0.112
0.948 0.819 0.349
```

Values from the calculation:
space-group type	C2/c, No. 15
formation energy from raw total energies	-0.67	eV per atom
E	-0.177	Ha/atom
magnetization	0.00	μB per atom